# 1
DFT (PBE) results for a relaxed La2Nd6Sm3Dy crystal.

abc: 6.3592 6.3592 12.1737
angles: 95.04 95.04 120.00
Fractional coordinates of all 12 atoms:
La1 0.1668 0.8332 0.0000
La2 0.8332 0.1668 0.0000
Nd1 0.0842 0.4160 0.7481
Nd2 0.2519 0.2519 0.2521
Nd3 0.4160 0.0842 0.7481
Nd4 0.5840 0.9158 0.2519
Nd5 0.7481 0.7481 0.7479
Nd6 0.9158 0.5840 0.2519
Sm1 0.0000 0.0000 0.5000
Sm2 0.3337 0.6663 0.5000
Sm3 0.6663 0.3337 0.5000
Dy1 0.5000 0.5000 0.0000

- uncorrected energy (eV per atom) = -4.7521
- N(E_F) (states/eV/cell) = 19.477
- density (Mg/m³) = 6.95
- DFT formation energy (eV/atom) = 0.016

***

# 2
DFT (PBE) results for a relaxed TiCoRh3 crystal.

abc: 4.4147 4.4147 4.4147
angles: 90.00 90.00 90.00
Fractional coordinates of all 5 atoms:
Ti1 0.0000 0.0000 0.0000
Co1 0.5000 0.5000 0.5000
Rh1 0.0000 0.5000 0.5000
Rh2 0.5000 0.0000 0.5000
Rh3 0.5000 0.5000 0.0000

- uncorrected energy (eV per atom) = -6.6939
- energy above the lowest structure with this stoichiometry (meV/atom) = 0
- N(E_F) (states/eV/cell) = 4.738
- density (Mg/m³) = 8.02
- DFT formation energy (eV/atom) = 0.717

***

# 3
DFT (PBE) results for a relaxed TaBe2Pd2 crystal.

abc: 7.0151 7.0151 2.7041
angles: 90.00 90.00 90.00
Fractional coordinates of all 10 atoms:
Ta1 0.0000 0.0000 0.0000
Ta2 0.5000 0.5000 0.0000
Be1 0.1614 0.3386 0.5000
Be2 0.3386 0.8386 0.5000
Be3 0.6614 0.1614 0.5000
Be4 0.8386 0.6614 0.5000
Pd1 0.1370 0.6370 0.0000
Pd2 0.3630 0.1370 0.0000
Pd3 0.6370 0.8630 0.0000
Pd4 0.8630 0.3630 0.0000

- uncorrected energy (eV per atom) = -6.1462
- energy above the lowest structure with this stoichiometry (meV/atom) = 125
- N(E_F) (states/eV/cell) = 12.041
- density (Mg/m³) = 10.28
- DFT formation energy (eV/atom) = -0.208

***

# 4
DFT (PBE) results for a relaxed Tm4TlCu crystal.

abc: 5.3136 6.9534 8.5274
angles: 90.00 99.80 90.00
Fractional coordinates of all 12 atoms:
Tm1 0.1452 0.2500 0.0519
Tm2 0.2156 0.7500 0.3687
Tm3 0.3183 0.5127 0.7508
Tm4 0.3183 0.9873 0.7508
Tm5 0.6817 0.0127 0.2492
Tm6 0.6817 0.4873 0.2492
Tm7 0.7844 0.2500 0.6313
Tm8 0.8548 0.7500 0.9481
Tl1 0.2286 0.2500 0.4214
Tl2 0.7714 0.7500 0.5786
Cu1 0.3647 0.7500 0.0502
Cu2 0.6353 0.2500 0.9498

- uncorrected energy (eV per atom) = -4.2405
- energy above the lowest structure with this stoichiometry (meV/atom) = 0
- N(E_F) (states/eV/cell) = 9.270
- density (Mg/m³) = 10.09
- DFT formation energy (eV/atom) = -0.182

***

# 5
DFT (PBE) results for a relaxed ZrAlAg crystal.

abc: 5.6253 5.6253 5.9180
angles: 118.33 118.33 45.26
Fractional coordinates of all 6 atoms:
Zr1 0.0000 0.0000 0.0000
Zr2 0.6511 0.6511 0.8072
Al1 0.3362 0.3362 0.1570
Al2 0.6937 0.6937 0.3418
Ag1 0.3014 0.3014 0.6400
Ag2 0.9728 0.9728 0.4556

- uncorrected energy (eV per atom) = -5.2285
- N(E_F) (states/eV/cell) = 4.401
- density (Mg/m³) = 6.58
- DFT formation energy (eV/atom) = -0.181

***

# 6
DFT (PBE) results for a relaxed ZrPtSCl2 crystal.

abc: 4.7628 4.7628 4.8654
angles: 90.00 90.00 90.00
Fractional coordinates of all 5 atoms:
Zr1 0.0000 0.0000 0.0000
Pt1 0.5000 0.5000 0.5000
S1 0.5000 0.5000 0.0000
Cl1 0.0000 0.5000 0.5000
Cl2 0.5000 0.0000 0.5000

- uncorrected energy (eV per atom) = -4.3494
- energy above the lowest structure with this stoichiometry (meV/atom) = 356
- N(E_F) (states/eV/cell) = 5.450
- density (Mg/m³) = 5.86
- ΔE_f (raw) (eV/atom) = 0.1325

***

# 7
DFT (PBE) results for a relaxed Na2In2GaO6 crystal.

abc: 5.5248 5.5248 5.8904
angles: 98.96 98.96 119.90
Fractional coordinates of all 11 atoms:
Na1 0.1624 0.8376 0.0000
Na2 0.8376 0.1624 0.0000
In1 0.3366 0.6634 0.5000
In2 0.6634 0.3366 0.5000
Ga1 0.0000 0.0000 0.5000
O1 0.0555 0.3773 0.7005
O2 0.2408 0.2408 0.3069
O3 0.3773 0.0555 0.7005
O4 0.6227 0.9445 0.2995
O5 0.7592 0.7592 0.6931
O6 0.9445 0.6227 0.2995

- uncorrected energy (eV per atom) = -5.2044
- N(E_F) (states/eV/cell) = 8.220
- density (Mg/m³) = 4.95
- ΔE_f (raw) (eV/atom) = -1.4871

***

# 8
DFT (PBE) results for a relaxed NaZr2TiF11 crystal.

abc: 5.7760 5.7760 7.9066
angles: 110.63 110.63 73.18
Fractional coordinates of all 15 atoms:
Na1 0.0000 0.0000 0.0000
Zr1 0.4958 0.4958 0.7655
Zr2 0.5042 0.5042 0.2345
Ti1 0.0000 0.0000 0.5000
F1 0.1920 0.7827 0.6885
F2 0.2173 0.8080 0.3115
F3 0.2458 0.2458 0.6418
F4 0.2651 0.2651 0.1109
F5 0.3289 0.6711 0.0000
F6 0.5000 0.5000 0.5000
F7 0.6711 0.3289 0.0000
F8 0.7349 0.7349 0.8891
F9 0.7542 0.7542 0.3582
F10 0.7827 0.1920 0.6885
F11 0.8080 0.2173 0.3115

- uncorrected energy (eV per atom) = -6.5535
- N(E_F) (states/eV/cell) = 8.362
- density (Mg/m³) = 3.38
- ΔE_f (raw) (eV/atom) = -3.4272

***

# 9
DFT (PBE) results for a relaxed Ta2CuSb crystal.

abc: 5.2248 5.2248 2.9404
angles: 97.14 97.14 114.42
Fractional coordinates of all 4 atoms:
Ta1 0.0000 0.5000 0.0000
Ta2 0.5000 0.0000 0.0000
Cu1 0.0000 0.0000 0.5000
Sb1 0.5000 0.5000 0.5000

- uncorrected energy (eV per atom) = -7.7247
- N(E_F) (states/eV/cell) = 2.937
- density (Mg/m³) = 12.77
- ΔE_f (raw) (eV/atom) = 0.2563

***

# 10
DFT (PBE) results for a relaxed SiB4Mo6 crystal.

abc: 5.7166 5.7166 5.7166
angles: 119.53 119.53 90.81
Fractional coordinates of all 11 atoms:
Si1 0.0000 0.0000 0.0000
B1 0.3086 0.5795 0.0000
B2 0.4205 0.4205 0.7292
B3 0.5795 0.3086 0.0000
B4 0.6914 0.6914 0.2708
Mo1 0.0000 0.5000 0.5000
Mo2 0.0804 0.0804 0.6442
Mo3 0.4362 0.4362 0.3558
Mo4 0.5000 0.0000 0.5000
Mo5 0.5638 0.9196 0.0000
Mo6 0.9196 0.5638 0.0000

- uncorrected energy (eV per atom) = -9.0335
- N(E_F) (states/eV/cell) = 7.710
- density (Mg/m³) = 8.08
- ΔE_f (raw) (eV/atom) = -0.2044

***

# 11
DFT (PBE) results for a relaxed CuTeRu crystal.

abc: 4.2504 4.2504 5.8726
angles: 90.00 90.00 90.00
Fractional coordinates of all 6 atoms:
Cu1 0.2500 0.2500 0.2126
Cu2 0.7500 0.7500 0.7874
Te1 0.2500 0.2500 0.7714
Te2 0.7500 0.7500 0.2286
Ru1 0.2500 0.7500 0.5000
Ru2 0.7500 0.2500 0.5000

- uncorrected energy (eV per atom) = -5.4600
- energy above the lowest structure with this stoichiometry (meV/atom) = 0
- N(E_F) (states/eV/cell) = 4.684
- density (Mg/m³) = 9.15
- ΔE_f (raw) (eV/atom) = 0.0445

***

# 12
DFT (PBE) results for a relaxed FeCo5N4 crystal.

abc: 5.8904 6.8386 4.5273
angles: 90.00 90.00 90.00
Fractional coordinates of all 20 atoms:
Fe1 0.2500 0.2500 0.1791
Fe2 0.7500 0.7500 0.8209
Co1 0.0248 0.5652 0.2474
Co2 0.0248 0.9348 0.2474
Co3 0.2500 0.7500 0.7388
Co4 0.4752 0.5652 0.2474
Co5 0.4752 0.9348 0.2474
Co6 0.5248 0.0652 0.7526
Co7 0.5248 0.4348 0.7526
Co8 0.7500 0.2500 0.2612
Co9 0.9752 0.0652 0.7526
Co10 0.9752 0.4348 0.7526
N1 0.0263 0.2500 0.4693
N2 0.2500 0.0117 0.9546
N3 0.2500 0.4883 0.9546
N4 0.4737 0.2500 0.4693
N5 0.5263 0.7500 0.5307
N6 0.7500 0.5117 0.0454
N7 0.7500 0.9883 0.0454
N8 0.9737 0.7500 0.5307

- uncorrected energy (eV per atom) = -7.5914
- N(E_F) (states/eV/cell) = 14.329
- density (Mg/m³) = 7.40
- ΔE_f (raw) (eV/atom) = 0.1379

***

- What is the formula in the tenth record?
  SiB4Mo6